(1)
This record from Alexandria describes crystalline Sm3S2O2 at its relaxed geometry. The functional is GGA-PBE.

CIF file:
```
data_Sm3S2O2
_chemical_formula_sum 'Sm6 S4 O4'
_symmetry_space_group_name_H-M 'C 1 2/m 1'
_symmetry_Int_Tables_number 12
_cell_length_a 12.8606
_cell_length_b 3.9044
_cell_length_c 6.6136
_cell_angle_alpha 90.00
_cell_angle_beta 117.49
_cell_angle_gamma 90.00
loop_
_symmetry_equiv_pos_as_xyz
'x,y,z'
'-x,-y,-z'
'-x,y,-z'
'x,-y,z'
'x+1/2,y+1/2,z'
'-x+1/2,-y+1/2,-z'
'-x+1/2,y+1/2,-z'
'x+1/2,-y+1/2,z'
loop_
_atom_site_label
_atom_site_fract_x
_atom_site_fract_y
_atom_site_fract_z
Sm1 0.0000 0.0000 0.0000
Sm2 0.2177 0.0000 0.6976
S1 0.0991 0.5000 0.8304
O1 0.1832 0.0000 0.3256
```

Output
The uncorrected formation energy comes out at -2.6764 eV per atom. The value obtained for the total magnetization is 0.0 Bohr magnetons per cell.


(2)
This record from Alexandria describes crystalline BaLiTcO2 at its relaxed geometry. The functional is GGA-PBE.

CIF file:
```
data_BaLiTcO2
_chemical_formula_sum 'Ba1 Li1 Tc1 O2'
_symmetry_space_group_name_H-M 'P 4/m m m'
_symmetry_Int_Tables_number 123
_symmetry_space_group_name_Hall '-P 4 2'
_cell_length_a 3.9558
_cell_length_b 3.9558
_cell_length_c 6.4045
_cell_angle_alpha 90.00
_cell_angle_beta 90.00
_cell_angle_gamma 90.00
loop_
_atom_site_label
_atom_site_fract_x
_atom_site_fract_y
_atom_site_fract_z
Ba1 0.0000 0.0000 0.0000
Li1 0.5000 0.5000 0.0000
Tc1 0.0000 0.0000 0.5000
O1 0.0000 0.5000 0.5000
```

Output
The uncorrected formation energy comes out at -0.2703 eV per atom. The value obtained for the total magnetization is 0.0 Bohr magnetons per cell.


(3)
This record from Alexandria describes crystalline ScIn2Tc at its relaxed geometry. The functional is GGA-PBE.

CIF file:
```
data_ScIn2Tc
_chemical_formula_sum 'Sc2 In4 Tc2'
_symmetry_space_group_name_H-M 'C m m m'
_symmetry_Int_Tables_number 65
_symmetry_space_group_name_Hall '-C 2 2'
_cell_length_a 5.8422
_cell_length_b 7.9135
_cell_length_c 3.3738
_cell_angle_alpha 90.00
_cell_angle_beta 90.00
_cell_angle_gamma 90.00
loop_
_atom_site_label
_atom_site_fract_x
_atom_site_fract_y
_atom_site_fract_z
Sc1 0.0000 0.0000 0.0000
In1 0.2500 0.2500 0.5000
Tc1 0.0000 0.5000 0.0000
```

Output
Its excess energy over the best structure of this formula in the dataset is 57 kJ/mol of formula units. The value obtained for the total magnetization is 0.0 Bohr magnetons per cell.


(4)
This record from Alexandria describes crystalline CsLaRuO6 at its relaxed geometry. The functional is GGA-PBE.

CIF file:
```
data_CsLaRuO6
_chemical_formula_sum 'Cs1 La1 Ru1 O6'
_symmetry_space_group_name_H-M 'P 3 1 2'
_symmetry_Int_Tables_number 149
_cell_length_a 5.8256
_cell_length_b 5.8256
_cell_length_c 6.4829
_cell_angle_alpha 90.00
_cell_angle_beta 90.00
_cell_angle_gamma 120.00
loop_
_symmetry_equiv_pos_as_xyz
'x,y,z'
'-y,x-y,z'
'-x+y,-x,z'
'-y,-x,-z'
'-x+y,y,-z'
'x,x-y,-z'
loop_
_atom_site_label
_atom_site_fract_x
_atom_site_fract_y
_atom_site_fract_z
Cs1 0.0000 0.0000 0.0000
La1 0.3333 0.6667 0.5000
Ru1 0.6667 0.3333 0.5000
O1 0.4109 0.0596 0.6678
```

Output
The uncorrected formation energy comes out at -1.5259 eV per atom. The value obtained for the total magnetization is 0.0 Bohr magnetons per cell.


(5)
This record from Alexandria describes crystalline Er2Pa2Te7 at its relaxed geometry. The functional is GGA-PBE.

CIF file:
```
data_Er2Pa2Te7
_chemical_formula_sum 'Er4 Pa4 Te14'
_symmetry_space_group_name_H-M 'I m m 2'
_symmetry_Int_Tables_number 44
_cell_length_a 4.2175
_cell_length_b 16.0929
_cell_length_c 9.7000
_cell_angle_alpha 90.00
_cell_angle_beta 90.00
_cell_angle_gamma 90.00
loop_
_symmetry_equiv_pos_as_xyz
'x,y,z'
'-x,-y,z'
'-x,y,z'
'x,-y,z'
'x+1/2,y+1/2,z+1/2'
'-x+1/2,-y+1/2,z+1/2'
'-x+1/2,y+1/2,z+1/2'
'x+1/2,-y+1/2,z+1/2'
loop_
_atom_site_label
_atom_site_fract_x
_atom_site_fract_y
_atom_site_fract_z
Er1 0.0000 0.2392 0.0000
Pa1 0.0000 0.0000 0.2274
Pa2 0.0000 0.5000 0.1762
Te1 0.0000 0.0000 0.9123
Te2 0.0000 0.1094 0.5030
Te3 0.0000 0.3187 0.2943
Te4 0.0000 0.3619 0.6804
```

Output
The uncorrected formation energy comes out at -1.0335 eV per atom. The value obtained for the total magnetization is 3.7 Bohr magnetons per cell.


(6)
This record from Alexandria describes crystalline Tl2SnClF5 at its relaxed geometry. The functional is GGA-PBE.

CIF file:
```
data_Tl2SnClF5
_chemical_formula_sum 'Tl4 Sn2 Cl2 F10'
_symmetry_space_group_name_H-M 'I 4 m m'
_symmetry_Int_Tables_number 107
_symmetry_space_group_name_Hall 'I 4 -2'
_cell_length_a 6.6385
_cell_length_b 6.6385
_cell_length_c 8.8063
_cell_angle_alpha 90.00
_cell_angle_beta 90.00
_cell_angle_gamma 90.00
loop_
_atom_site_label
_atom_site_fract_x
_atom_site_fract_y
_atom_site_fract_z
Tl1 0.0000 0.5000 0.0000
Sn1 0.0000 0.0000 0.2255
Cl1 0.0000 0.0000 0.9483
F1 0.0000 0.0000 0.4518
F2 0.2145 0.2145 0.2231
```

Output
The uncorrected formation energy comes out at -2.0396 eV per atom. The value obtained for the total magnetization is 0.0 Bohr magnetons per cell.